P) # CsNdSm

A geometry-optimized CsNdSm structure (PBE, OQMD).

Cell: 5.6094 5.6094 5.6094 Å, 60.00 60.00 60.00°
With the nearest neighbours (Å) after each atom.
Atoms (fractional coordinates):
Cs  0.0000  0.0000  0.0000  4 Sm 3.44, 4 Nd 3.44
Nd  0.2500  0.2500  0.2500  4 Cs 3.44
Sm  0.7500  0.7500  0.7500  4 Cs 3.44

Properties
total magnetic moment	0.00	Bohr magnetons per cell
SG	F-43m

Q) # CsNdSm

A geometry-optimized CsNdSm structure (PBE, OQMD).

Cell: 6.1470 6.1470 6.1470 Å, 60.00 60.00 60.00°
With the nearest neighbours (Å) after each atom.
Atoms (fractional coordinates):
Cs  0.0000  0.0000  0.0000  4 Sm 3.76
Nd  0.5000  0.5000  0.5000  4 Sm 3.76
Sm  0.2500  0.2500  0.2500  4 Nd 3.76, 4 Cs 3.76

Properties
total magnetic moment	4.25	Bohr magnetons per cell
SG	F-43m

Each structure's energy above the most stable one, in kJ/mol of atoms: P) 0.0; Q) 2.9.

P) # CsNdU

A geometry-optimized CsNdU structure (PBE, OQMD).

Cell: 5.8353 5.8353 5.8353 Å, 60.00 60.00 60.00°
With the nearest neighbours (Å) after each atom.
Atoms (fractional coordinates):
Cs  0.0000  0.0000  0.0000  4 Nd 3.57
Nd  0.7500  0.7500  0.7500  4 U 3.57, 4 Cs 3.57
U  0.5000  0.5000  0.5000  4 Nd 3.57

Properties
total magnetic moment	6.28	Bohr magnetons per cell
SG	F-43m

Q) # CsNdU

A geometry-optimized CsNdU structure (PBE, OQMD).

Cell: 5.3922 5.3922 5.3922 Å, 60.00 60.00 60.00°
With the nearest neighbours (Å) after each atom.
Atoms (fractional coordinates):
Cs  0.0000  0.0000  0.0000  4 U 3.30, 4 Nd 3.30
Nd  0.2500  0.2500  0.2500  4 Cs 3.30
U  0.7500  0.7500  0.7500  4 Cs 3.30

Properties
total magnetic moment	3.52	Bohr magnetons per cell
SG	F-43m

Each structure's energy above the most stable one, in kJ/mol of atoms: P) 0.0; Q) 3.4.

P) # CsNi3

A geometry-optimized CsNi3 structure (PBE, OQMD).

Cell: 7.5411 7.5411 3.9900 Å, 90.00 90.00 119.96°
With the nearest neighbours (Å) after each atom.
Atoms (fractional coordinates):
Cs  0.1666  0.8334  0.7500  12 Ni 3.60-3.86, 2 Cs 3.99
Cs  0.8334  0.1666  0.2500  12 Ni 3.60-3.86, 2 Cs 3.99
Ni  0.2929  0.3966  0.7500  6 Ni 2.34-2.41
Ni  0.3966  0.2929  0.2500  6 Ni 2.34-2.41
Ni  0.3966  0.6034  0.2500  6 Ni 2.34-2.41
Ni  0.6034  0.3966  0.7500  6 Ni 2.34-2.41
Ni  0.6034  0.7071  0.7500  6 Ni 2.34-2.41
Ni  0.7071  0.6034  0.2500  6 Ni 2.34-2.41

Properties
total magnetic moment	3.95	Bohr magnetons per cell
SG	Cmcm

Q) # CsNi3

A geometry-optimized CsNi3 structure (PBE, OQMD).

Cell: 4.5420 4.5420 4.5420 Å, 60.00 60.00 60.00°
With the nearest neighbours (Å) after each atom.
Atoms (fractional coordinates):
Cs  0.0000  0.0000  0.0000  8 Ni 2.78
Ni  0.2500  0.2500  0.2500  4 Ni 2.78, 4 Cs 2.78
Ni  0.5000  0.5000  0.5000  8 Ni 2.78
Ni  0.7500  0.7500  0.7500  4 Ni 2.78, 4 Cs 2.78

Properties
total magnetic moment	0.40	Bohr magnetons per cell
SG	Fm-3m

R) # CsNi3

A geometry-optimized CsNi3 structure (PBE, OQMD).

Cell: 4.9661 4.9661 4.9661 Å, 132.53 132.53 69.39°
With the nearest neighbours (Å) after each atom.
Atoms (fractional coordinates):
Cs  0.0000  0.0000  0.0000  12 Ni 2.83-2.86
Ni  0.2500  0.7500  0.5000  8 Ni 2.83-2.86, 4 Cs 2.86
Ni  0.5000  0.5000  0.0000  4 Cs 2.83, 8 Ni 2.86
Ni  0.7500  0.2500  0.5000  8 Ni 2.83-2.86, 4 Cs 2.86

Properties
total magnetic moment	0.77	Bohr magnetons per cell
SG	I4/mmm

Each structure's energy above the most stable one, in kJ/mol of atoms: P) 0.0; Q) 63.4; R) 64.6.

P) # CsNiPb

A geometry-optimized CsNiPb structure (PBE, OQMD).

Cell: 5.2464 5.2464 5.2464 Å, 60.00 60.00 60.00°
With the nearest neighbours (Å) after each atom.
Atoms (fractional coordinates):
Cs  0.0000  0.0000  0.0000  4 Ni 3.21
Ni  0.2500  0.2500  0.2500  4 Pb 3.21, 4 Cs 3.21
Pb  0.5000  0.5000  0.5000  4 Ni 3.21

Properties
total magnetic moment	0.00	Bohr magnetons per cell
SG	F-43m

Q) # CsNiPb

A geometry-optimized CsNiPb structure (PBE, OQMD).

Cell: 5.5727 5.5727 5.5727 Å, 60.00 60.00 60.00°
With the nearest neighbours (Å) after each atom.
Atoms (fractional coordinates):
Cs  0.0000  0.0000  0.0000  4 Pb 3.41, 4 Ni 3.41
Ni  0.7500  0.7500  0.7500  4 Cs 3.41
Pb  0.2500  0.2500  0.2500  4 Cs 3.41

Properties
total magnetic moment	0.31	Bohr magnetons per cell
SG	F-43m

Each structure's energy above the most stable one, in kJ/mol of atoms: P) 0.0; Q) 65.6.

P) # CsPrNi

A geometry-optimized CsPrNi structure (PBE, OQMD).

Cell: 5.1290 5.1290 5.1290 Å, 60.00 60.00 60.00°
With the nearest neighbours (Å) after each atom.
Atoms (fractional coordinates):
Cs  0.0000  0.0000  0.0000  4 Pr 3.14
Pr  0.7500  0.7500  0.7500  4 Cs 3.14, 4 Ni 3.14
Ni  0.5000  0.5000  0.5000  4 Pr 3.14

Properties
total magnetic moment	0.00	Bohr magnetons per cell
SG	F-43m

Q) # CsPrNi

A geometry-optimized CsPrNi structure (PBE, OQMD).

Cell: 5.0186 5.0186 5.0186 Å, 60.00 60.00 60.00°
With the nearest neighbours (Å) after each atom.
Atoms (fractional coordinates):
Cs  0.0000  0.0000  0.0000  4 Pr 3.07, 4 Ni 3.07
Pr  0.7500  0.7500  0.7500  4 Cs 3.07
Ni  0.2500  0.2500  0.2500  4 Cs 3.07

Properties
total magnetic moment	0.00	Bohr magnetons per cell
SG	F-43m

Each structure's energy above the most stable one, in kJ/mol of atoms: P) 0.0; Q) 24.2.

P) # CsPrNiS3

A geometry-optimized CsPrNiS3 structure (PBE, OQMD).

Cell: 9.5509 4.0782 9.7346 Å, 90.00 109.38 90.00°
With the nearest neighbours (Å) after each atom.
Atoms (fractional coordinates):
Cs  0.2068  0.2500  0.2445  7 S 3.52-3.75
Cs  0.7932  0.7500  0.7555  7 S 3.52-3.75
Pr  0.3289  0.7500  0.8551  6 S 2.81-2.94
Pr  0.6711  0.2500  0.1449  6 S 2.81-2.94
Ni  0.0759  0.2500  0.5943  4 S 2.20-2.31
Ni  0.9241  0.7500  0.4057  4 S 2.20-2.31
S  0.1162  0.2500  0.8392  1 Ni 2.29
S  0.1591  0.7500  0.5418  3 Ni 2.20-2.31
S  0.4666  0.7500  0.1588  3 Pr 2.81-2.86
S  0.5334  0.2500  0.8412  3 Pr 2.81-2.86
S  0.8409  0.2500  0.4582  3 Ni 2.20-2.31
S  0.8838  0.7500  0.1608  1 Ni 2.29

Properties
total magnetic moment	2.51	Bohr magnetons per cell
SG	P2_1/m

Q) # CsPrNiS3

A geometry-optimized CsPrNiS3 structure (PBE, OQMD).

Cell: 7.9721 7.9721 10.9530 Å, 90.00 90.00 150.19°
With the nearest neighbours (Å) after each atom.
Atoms (fractional coordinates):
Cs  0.2410  0.7590  0.7500  6 S 3.56-3.65
Cs  0.7590  0.2410  0.2500  6 S 3.56-3.65
Pr  0.5000  0.5000  0.0000  6 S 2.83-2.84
Pr  0.5000  0.5000  0.5000  6 S 2.83-2.84
Ni  0.0317  0.9683  0.2500  4 S 2.27-2.37
Ni  0.9683  0.0317  0.7500  4 S 2.27-2.37
S  0.1151  0.8849  0.0787  1 Ni 2.27
S  0.1151  0.8849  0.4213  1 Ni 2.27
S  0.4547  0.5453  0.2500  2 Ni 2.37
S  0.5453  0.4547  0.7500  2 Ni 2.37
S  0.8849  0.1151  0.5787  1 Ni 2.27
S  0.8849  0.1151  0.9213  1 Ni 2.27

Properties
total magnetic moment	3.99	Bohr magnetons per cell
SG	Cmcm

Each structure's energy above the most stable one, in kJ/mol of atoms: P) 0.0; Q) 2.1.